# GGA-PBEsol Pr2Ni3P4, optimized geometry
# Formation energy from the elements, meV per atom: -1065
data_Pr2Ni3P4
_chemical_formula_sum 'Pr2 Ni3 P4'
_cell_length_a 3.930
_cell_length_b 3.930
_cell_length_c 9.196
_cell_angle_alpha 90.00
_cell_angle_beta 90.00
_cell_angle_gamma 90.00
_space_group_name_H-M_alt 'P -4 m 2'
_space_group_IT_number 115
loop_
_space_group_symop_operation_xyz
'x,y,z'
'y,-x,-z'
'-x,-y,z'
'-y,x,-z'
'-x,y,z'
'-y,-x,-z'
'x,-y,z'
'y,x,-z'
loop_
_atom_site_label
_atom_site_fract_x
_atom_site_fract_y
_atom_site_fract_z
_atom_site_occupancy
Pr1 0.000 0.500 0.238 1
Ni1 0.000 0.000 0.000 1
Ni2 0.000 0.000 0.500 1
Ni3 0.500 0.500 0.500 1
P1 0.000 0.500 0.624 1
P2 0.000 0.500 0.880 1